Entry 1:
CoAsRh2 after structural relaxation, computed with PBE-GGA.

a b c (Å): 3.7949 4.0181 7.1417
angles (deg): 90.00 90.00 90.00
Space group Immm (No. 71)
One atom of each set of equivalent atoms:
Co (0.0000, 0.0000, 0.0000)
As (0.0000, 0.0000, 0.5000)
Rh (0.0000, 0.5000, 0.2358)

Properties
E_form   -0.121 eV per atom
Raw total energy   -53.9 eV/cell
D(E_F)   0.68 states/eV/atom

***

Entry 2:
CoAsRh after structural relaxation, computed with PBE-GGA.

a b c (Å): 3.9897 3.9897 2.9524
angles (deg): 90.00 90.00 120.00
Space group P3m1 (No. 156)
One atom of each set of equivalent atoms:
Co (0.0000, 0.0000, 0.0000)
As (0.3333, 0.6667, 0.8753)
Rh (0.6667, 0.3333, 0.4953)

Properties
E_form   -0.093 eV per atom
Raw total energy   -19.4 eV/cell
D(E_F)   1.31 states/eV/atom

***

Entry 3:
CoAsRh after structural relaxation, computed with PBE-GGA.

a b c (Å): 5.6603 5.6603 5.6603
angles (deg): 90.00 90.00 90.00
Space group F-43m (No. 216)
One atom of each set of equivalent atoms:
Co (0.0000, 0.0000, 0.0000)
As (0.2500, 0.2500, 0.7500)
Rh (0.2500, 0.2500, 0.2500)

Properties
E_form   0.022 eV per atom
Raw total energy   -76.2 eV/cell
D(E_F)   1.29 states/eV/atom

***

Entry 4:
CoAsRh2 after structural relaxation, computed with PBE-GGA.

a b c (Å): 2.8202 3.8671 5.2837
angles (deg): 90.00 102.88 90.00
Space group P2/m (No. 10)
One atom of each set of equivalent atoms:
Co (0.0000, 0.0000, 0.0000)
As (0.0000, 0.0000, 0.5000)
Rh (0.3826, 0.5000, 0.7470)

Properties
E_form   -0.036 eV per atom
Raw total energy   -26.6 eV/cell
D(E_F)   0.90 states/eV/atom

***

Question: Number 1 is which compound?
Answer: CoAsRh2